# AcCd3As3 PBE optimized geometry
# volume = 393 Å³/cell
# formation enthalpy at 0 K = -0.522 eV per atom
data_AcCd3As3
_cell_length_a 8.685
_cell_length_b 8.685
_cell_length_c 8.685
_cell_angle_alpha 53.49
_cell_angle_beta 53.49
_cell_angle_gamma 53.49
_space_group_name_H-M_alt 'P 1'
_space_group_IT_number 1
_space_group_name_Hall 'P 1'
loop_
_atom_site_label
_atom_site_type_symbol
_atom_site_fract_x
_atom_site_fract_y
_atom_site_fract_z
_atom_site_occupancy
Ac1 Ac 0.166 0.166 0.166 1
Ac2 Ac 0.834 0.834 0.834 1
Cd1 Cd 0.048 0.711 0.376 1
Cd2 Cd 0.289 0.624 0.952 1
Cd3 Cd 0.376 0.048 0.711 1
Cd4 Cd 0.624 0.952 0.289 1
Cd5 Cd 0.711 0.376 0.048 1
Cd6 Cd 0.952 0.289 0.624 1
As1 As 0.082 0.419 0.752 1
As2 As 0.248 0.918 0.581 1
As3 As 0.419 0.752 0.082 1
As4 As 0.581 0.248 0.918 1
As5 As 0.752 0.082 0.419 1
As6 As 0.918 0.581 0.248 1